VASP calculation (PBE) on a geometry-optimized AcAlCd2 structure.

## Properties
The calculated formation energy is -0.1956 eV per atom. The value obtained for the volume is 27.54 A^3/atom.

a = 4.715 Å, b = 4.715 Å, c = 6.336 Å
α = 68.16°, β = 68.16°, γ = 60.00°
Fractional positions:
1 Ac 0.000 0.000 0.000
2 Cd 0.215 0.215 0.356
3 Al 0.500 0.500 0.500
4 Cd 0.785 0.785 0.644

VASP calculation (PBE) on a geometry-optimized Ac4Al2Cd5 structure.

## Properties
The calculated formation energy is -0.2511 eV per atom. The value obtained for the volume is 31.05 A^3/atom.

a = 4.887 Å, b = 7.535 Å, c = 9.281 Å
α = 91.68°, β = 90.00°, γ = 90.00°
Fractional positions:
1 Ac 0.500 0.242 0.418
2 Cd 0.000 0.440 0.667
3 Cd 0.000 0.500 0.000
4 Ac 0.500 0.758 0.582
5 Cd 0.000 0.160 0.137
6 Al 0.000 0.933 0.368
7 Ac 0.500 0.799 0.139
8 Al 0.000 0.067 0.632
9 Ac 0.500 0.201 0.861
10 Cd 0.000 0.560 0.333
11 Cd 0.000 0.840 0.863

VASP calculation (PBE) on a geometry-optimized AcAlCd structure.

## Properties
The calculated formation energy is -0.3131 eV per atom. The value obtained for the volume is 28.59 A^3/atom.

a = 4.083 Å, b = 4.925 Å, c = 4.925 Å
α = 120.00°, β = 90.00°, γ = 90.00°
Fractional positions:
1 Ac 0.667 0.667 0.333
2 Cd 0.167 0.333 0.667
3 Al 0.167 0.000 0.000

VASP calculation (PBE) on a geometry-optimized AcAl2Cd9 structure.

## Properties
The calculated formation energy is -0.0918 eV per atom. The value obtained for the volume is 23.05 A^3/atom.

a = 7.920 Å, b = 9.249 Å, c = 9.249 Å
α = 79.44°, β = 64.65°, γ = 64.65°
Fractional positions:
1 Cd 0.323 0.078 0.679
2 Cd 0.151 0.422 0.179
3 Cd 0.599 0.078 0.321
4 Cd 0.080 0.922 0.321
5 Cd 0.427 0.821 0.422
6 Cd 0.750 0.500 0.500
7 Al 0.875 0.750 0.250
8 Cd 0.998 0.679 0.922
9 Cd 0.000 0.000 0.000
10 Al 0.875 0.250 0.250
11 Al 0.875 0.250 0.750
12 Ac 0.250 0.500 0.500
13 Cd 0.670 0.179 0.578
14 Cd 0.599 0.321 0.078
15 Cd 0.151 0.179 0.422
16 Cd 0.998 0.922 0.679
17 Al 0.375 0.750 0.750
18 Cd 0.670 0.578 0.179
19 Cd 0.323 0.679 0.078
20 Cd 0.427 0.422 0.821
21 Cd 0.080 0.321 0.922
22 Cd 0.752 0.821 0.578
23 Ac 0.500 0.000 0.000
24 Cd 0.752 0.578 0.821

VASP calculation (PBE) on a geometry-optimized Ac2Al3Cd structure.

## Properties
The calculated formation energy is -0.3530 eV per atom. The value obtained for the volume is 28.55 A^3/atom.

a = 4.396 Å, b = 4.804 Å, c = 8.741 Å
α = 105.95°, β = 104.56°, γ = 90.00°
Fractional positions:
1 Ac 0.133 0.133 0.266
2 Ac 0.866 0.366 0.732
3 Al 0.544 0.544 0.088
4 Al 0.707 0.707 0.413
5 Al 0.290 0.790 0.581
6 Cd 0.460 0.960 0.920

VASP calculation (PBE) on a geometry-optimized Ac2AlCd5 structure.

## Properties
The calculated formation energy is -0.2912 eV per atom. The value obtained for the volume is 27.76 A^3/atom.

a = 4.980 Å, b = 9.324 Å, c = 9.927 Å
α = 90.00°, β = 90.00°, γ = 105.49°
Fractional positions:
1 Al 0.443 0.885 0.750
2 Al 0.557 0.115 0.250
3 Cd 0.354 0.709 0.973
4 Cd 0.187 0.374 0.895
5 Ac 0.000 0.000 0.500
6 Cd 0.646 0.291 0.473
7 Cd 0.354 0.709 0.527
8 Cd 0.813 0.626 0.395
9 Cd 0.813 0.626 0.105
10 Ac 0.202 0.405 0.250
11 Cd 0.408 0.815 0.250
12 Cd 0.187 0.374 0.605
13 Ac 0.798 0.595 0.750
14 Cd 0.592 0.185 0.750
15 Cd 0.646 0.291 0.027
16 Ac 0.000 0.000 0.000

VASP calculation (PBE) on a geometry-optimized Ac3AlCd2 structure.

## Properties
The calculated formation energy is -0.2610 eV per atom. The value obtained for the volume is 32.92 A^3/atom.

a = 5.706 Å, b = 5.706 Å, c = 14.013 Å
α = 90.00°, β = 90.00°, γ = 120.00°
Fractional positions:
1 Ac 0.333 0.667 0.912
2 Cd 0.000 0.000 0.000
3 Cd 0.000 0.000 0.500
4 Cd 0.333 0.667 0.165
5 Cd 0.667 0.333 0.835
6 Ac 0.000 0.000 0.745
7 Ac 0.333 0.667 0.417
8 Ac 0.667 0.333 0.088
9 Ac 0.667 0.333 0.583
10 Al 0.667 0.333 0.336
11 Al 0.333 0.667 0.664
12 Ac 0.000 0.000 0.255

VASP calculation (PBE) on a geometry-optimized AcAlCd2 structure.

## Properties
The calculated formation energy is -0.2998 eV per atom. The value obtained for the volume is 26.28 A^3/atom.

a = 4.940 Å, b = 6.251 Å, c = 7.411 Å
α = 90.00°, β = 90.00°, γ = 113.27°
Fractional positions:
1 Cd 0.374 0.748 0.945
2 Cd 0.374 0.748 0.555
3 Ac 0.091 0.182 0.750
4 Al 0.202 0.405 0.250
5 Cd 0.626 0.252 0.445
6 Cd 0.626 0.252 0.055
7 Al 0.798 0.595 0.750
8 Ac 0.909 0.818 0.250